(1)
4
Lattice="3.956 0.000 0.000 0.000 3.956 0.000 0.000 0.000 4.138" Properties=species:S:1:pos:R:3 comment="PBE NiAg2Au, relaxed" e_above_lowest_polymorph_mev_per_atom=38.9 crystal_system=tetragonal sg=P4/mmm delta_e_f_mev_per_atom=134 pbc="T T T"
Ni 0.000 0.000 0.000
Ag 0.000 1.978 2.069
Ag 1.978 0.000 2.069
Au 1.978 1.978 0.000



(2)
16
Lattice="5.962 0.000 0.000 0.000 5.962 0.000 0.000 0.000 11.806" Properties=species:S:1:pos:R:3 comment="PBE NiAg2Au, relaxed" e_above_lowest_polymorph_mev_per_atom=950.6 crystal_system=tetragonal sg=I-42d delta_e_f_mev_per_atom=1046 pbc="T T T"
Ni 0.000 0.000 0.000
Ni 0.000 2.981 2.951
Ni 2.981 0.000 8.854
Ni 2.981 2.981 5.903
Ag 1.299 1.491 1.476
Ag 1.491 4.280 4.427
Ag 1.491 4.663 10.330
Ag 1.682 1.491 7.379
Ag 4.280 4.472 7.379
Ag 4.472 1.299 10.330
Ag 4.472 1.682 4.427
Ag 4.663 4.472 1.476
Au 0.000 0.000 5.903
Au 0.000 2.981 8.854
Au 2.981 0.000 2.951
Au 2.981 2.981 0.000



(3)
4
Lattice="3.021 0.000 0.000 0.000 4.616 0.000 0.000 0.000 4.684" Properties=species:S:1:pos:R:3 comment="PBE NiAg2Au, relaxed" e_above_lowest_polymorph_mev_per_atom=66.1 crystal_system=orthorhombic sg=Pmmm delta_e_f_mev_per_atom=161 pbc="T T T"
Ni 0.000 0.000 0.000
Ag 0.000 2.308 2.342
Ag 1.510 0.000 2.342
Au 1.510 2.308 0.000



(4)
16
Lattice="6.317 0.000 0.000 0.000 6.317 0.000 0.000 0.000 6.317" Properties=species:S:1:pos:R:3 comment="PBE NiAgPdAu, relaxed" crystal_system=cubic sg=F-43m delta_e_f_mev_per_atom=118 pbc="T T T"
Ni 0.000 0.000 0.000
Ni 0.000 3.158 3.158
Ni 3.158 0.000 3.158
Ni 3.158 3.158 0.000
Ag 0.000 0.000 3.158
Ag 0.000 3.158 0.000
Ag 3.158 0.000 0.000
Ag 3.158 3.158 3.158
Pd 1.579 1.579 4.738
Pd 1.579 4.738 1.579
Pd 4.738 1.579 1.579
Pd 4.738 4.738 4.738
Au 1.579 1.579 1.579
Au 1.579 4.738 4.738
Au 4.738 1.579 4.738
Au 4.738 4.738 1.579



(5)
16
Lattice="6.825 0.000 0.000 0.000 6.825 0.000 0.000 0.000 6.825" Properties=species:S:1:pos:R:3 comment="PBE PmNiAgAu, relaxed" crystal_system=cubic sg=F-43m delta_e_f_mev_per_atom=-268 pbc="T T T"
Pm 0.000 0.000 0.000
Pm 0.000 3.413 3.413
Pm 3.413 0.000 3.413
Pm 3.413 3.413 0.000
Ni 1.706 1.706 1.706
Ni 1.706 5.119 5.119
Ni 5.119 1.706 5.119
Ni 5.119 5.119 1.706
Ag 0.000 0.000 3.413
Ag 0.000 3.413 0.000
Ag 3.413 0.000 0.000
Ag 3.413 3.413 3.413
Au 1.706 1.706 5.119
Au 1.706 5.119 1.706
Au 5.119 1.706 1.706
Au 5.119 5.119 5.119



(6)
5
Lattice="4.660 0.000 0.000 0.000 4.660 0.000 0.000 0.000 5.000" Properties=species:S:1:pos:R:3 comment="PBE Ni2AgSbAu, relaxed" crystal_system=tetragonal sg=P4/mmm e_form_raw_kj_per_mol_atoms=100 pbc="T T T"
Ni 0.000 2.330 0.000
Ni 2.330 0.000 0.000
Ag 0.000 0.000 0.000
Sb 2.330 2.330 2.500
Au 0.000 0.000 2.500



(7)
16
Lattice="6.477 0.000 0.000 0.000 6.477 0.000 0.000 0.000 6.477" Properties=species:S:1:pos:R:3 comment="PBE ScNiAgAu, relaxed" crystal_system=cubic sg=F-43m delta_e_f_mev_per_atom=-326 pbc="T T T"
Sc 0.000 0.000 0.000
Sc 0.000 3.238 3.238
Sc 3.238 0.000 3.238
Sc 3.238 3.238 0.000
Ni 1.619 1.619 4.857
Ni 1.619 4.857 1.619
Ni 4.857 1.619 1.619
Ni 4.857 4.857 4.857
Ag 0.000 0.000 3.238
Ag 0.000 3.238 0.000
Ag 3.238 0.000 0.000
Ag 3.238 3.238 3.238
Au 1.619 1.619 1.619
Au 1.619 4.857 4.857
Au 4.857 1.619 4.857
Au 4.857 4.857 1.619



(8)
5
Lattice="4.357 0.000 0.000 0.000 4.357 0.000 0.000 0.000 4.954" Properties=species:S:1:pos:R:3 comment="PBE Ni2AgAuSe, relaxed" crystal_system=tetragonal sg=P4/mmm e_form_raw_kj_per_mol_atoms=40 pbc="T T T"
Ni 0.000 2.179 0.000
Ni 2.179 0.000 0.000
Ag 0.000 0.000 2.477
Au 2.179 2.179 2.477
Se 2.179 2.179 0.000



The records above yield M_tot values of 0.00; 2.30; 0.00; 2.24; 0.00; 0.50; 0.00; 0.00 μB per cell, respectively.